# 1
Entry from Alexandria via LeMat-Bulk: BaTc4Hg after structural relaxation (GGA-PBE).

Geometry as CIF:
```
data_BaTc4Hg
_symmetry_space_group_name_H-M 'F -4 3 m'
_symmetry_Int_Tables_number 216
_symmetry_space_group_name_Hall 'F -4 2 3'
_cell_length_a 7.7511
_cell_length_b 7.7511
_cell_length_c 7.7511
_cell_angle_alpha 90.00
_cell_angle_beta 90.00
_cell_angle_gamma 90.00
loop_
_atom_site_label
_atom_site_fract_x
_atom_site_fract_y
_atom_site_fract_z
_atom_site_occupancy
Ba1 0.0000 0.0000 0.0000 1
Tc1 0.1239 0.1239 0.3761 1
Hg1 0.2500 0.2500 0.7500 1
```

Summary:
M_tot ... 0.00 μB/cell
Theoretical density ... 10411 kg/m3
E ... -6.48 eV/atom

# 2
Entry from Alexandria via LeMat-Bulk: RbPr2Te3 after structural relaxation (GGA-PBE).

Geometry as CIF:
```
data_RbPr2Te3
_symmetry_space_group_name_H-M 'P -3 m 1'
_symmetry_Int_Tables_number 164
_symmetry_space_group_name_Hall '-P 3 2"'
_cell_length_a 4.5964
_cell_length_b 4.5964
_cell_length_c 12.3766
_cell_angle_alpha 90.00
_cell_angle_beta 90.00
_cell_angle_gamma 120.00
loop_
_atom_site_label
_atom_site_fract_x
_atom_site_fract_y
_atom_site_fract_z
_atom_site_occupancy
Rb1 0.0000 0.0000 0.0000 1
Pr1 0.3333 0.6667 0.6506 1
Te1 0.0000 0.0000 0.5000 1
Te2 0.3333 0.6667 0.2046 1
```

Summary:
M_tot ... 0.00 μB/cell
Theoretical density ... 5500 kg/m3
Formation energy without anion corrections ... -1422 meV per atom
E ... -4.75 eV/atom

# 3
Entry from Alexandria via LeMat-Bulk: Dy8PdRu2 after structural relaxation (GGA-PBE).

Geometry as CIF:
```
data_Dy8PdRu2
_symmetry_space_group_name_H-M 'C 1 m 1'
_symmetry_Int_Tables_number 8
_cell_length_a 8.3602
_cell_length_b 12.5882
_cell_length_c 5.9048
_cell_angle_alpha 90.00
_cell_angle_beta 108.54
_cell_angle_gamma 90.00
loop_
_symmetry_equiv_pos_as_xyz
'x,y,z'
'x,-y,z'
'x+1/2,y+1/2,z'
'x+1/2,-y+1/2,z'
loop_
_atom_site_label
_atom_site_fract_x
_atom_site_fract_y
_atom_site_fract_z
_atom_site_occupancy
Dy1 0.0000 0.0000 0.0000 1
Dy2 0.0791 0.3686 0.7864 1
Dy3 0.1631 0.1310 0.5944 1
Dy4 0.2357 0.5000 0.3818 1
Dy5 0.3687 0.2199 0.1925 1
Pd1 0.3676 0.0000 0.3301 1
Ru1 0.3719 0.3099 0.6917 1
```

Summary:
M_tot ... 0.00 μB/cell
Theoretical density ... 9068 kg/m3
E ... -5.80 eV/atom

# 4
Entry from Alexandria via LeMat-Bulk: YFeCuAs2 after structural relaxation (GGA-PBE).

Geometry as CIF:
```
data_YFeCuAs2
_symmetry_space_group_name_H-M 'P 4/m m m'
_symmetry_Int_Tables_number 123
_symmetry_space_group_name_Hall '-P 4 2'
_cell_length_a 5.3479
_cell_length_b 5.3479
_cell_length_c 5.0928
_cell_angle_alpha 90.00
_cell_angle_beta 90.00
_cell_angle_gamma 90.00
loop_
_atom_site_label
_atom_site_fract_x
_atom_site_fract_y
_atom_site_fract_z
_atom_site_occupancy
Y1 0.0000 0.0000 0.0000 1
Fe1 0.0000 0.0000 0.5000 1
Cu1 0.5000 0.5000 0.5000 1
As1 0.0000 0.5000 0.0000 1
```

Summary:
M_tot ... 3.43 μB/cell
Theoretical density ... 4083 kg/m3
E ... -4.45 eV/atom

# 5
Entry from Alexandria via LeMat-Bulk: TbBeTl after structural relaxation (GGA-PBE).

Geometry as CIF:
```
data_TbBeTl
_symmetry_space_group_name_H-M 'P -6 2 m'
_symmetry_Int_Tables_number 189
_symmetry_space_group_name_Hall 'P -6 -2'
_cell_length_a 6.6783
_cell_length_b 6.6783
_cell_length_c 5.1255
_cell_angle_alpha 90.00
_cell_angle_beta 90.00
_cell_angle_gamma 120.00
loop_
_atom_site_label
_atom_site_fract_x
_atom_site_fract_y
_atom_site_fract_z
_atom_site_occupancy
Tb1 0.0000 0.0000 0.0000 1
Tb2 0.3333 0.6667 0.5000 1
Be1 0.0000 0.8148 0.5000 1
Tl1 0.0000 0.5258 0.0000 1
```

Summary:
M_tot ... 0.00 μB/cell
Theoretical density ... 9369 kg/m3
E ... -3.57 eV/atom

# 6
Entry from Alexandria via LeMat-Bulk: ZrSi2Br after structural relaxation (GGA-PBE).

Geometry as CIF:
```
data_ZrSi2Br
_symmetry_space_group_name_H-M 'C 1 m 1'
_symmetry_Int_Tables_number 8
_cell_length_a 9.2695
_cell_length_b 3.6132
_cell_length_c 5.2554
_cell_angle_alpha 90.00
_cell_angle_beta 118.97
_cell_angle_gamma 90.00
loop_
_symmetry_equiv_pos_as_xyz
'x,y,z'
'x,-y,z'
'x+1/2,y+1/2,z'
'x+1/2,-y+1/2,z'
loop_
_atom_site_label
_atom_site_fract_x
_atom_site_fract_y
_atom_site_fract_z
_atom_site_occupancy
Zr1 0.0000 0.0000 0.0000 1
Si1 0.0507 0.5000 0.5490 1
Si2 0.2260 0.0000 0.6699 1
Br1 0.2701 0.5000 0.2182 1
```

Summary:
M_tot ... 0.00 μB/cell
E above lowest polymorph ... 302.5 meV per atom
Theoretical density ... 4902 kg/m3
Formation energy without anion corrections ... -75 meV per atom
E ... -5.34 eV/atom

# 7
Entry from Alexandria via LeMat-Bulk: HRuCl4 after structural relaxation (GGA-PBE).

Geometry as CIF:
```
data_HRuCl4
_symmetry_space_group_name_H-M 'C 1 2/c 1'
_symmetry_Int_Tables_number 15
_cell_length_a 5.6211
_cell_length_b 17.2326
_cell_length_c 6.2407
_cell_angle_alpha 90.00
_cell_angle_beta 95.45
_cell_angle_gamma 90.00
loop_
_symmetry_equiv_pos_as_xyz
'x,y,z'
'-x,-y,-z'
'-x,y,-z+1/2'
'x,-y,z+1/2'
'x+1/2,y+1/2,z'
'-x+1/2,-y+1/2,-z'
'-x+1/2,y+1/2,-z+1/2'
'x+1/2,-y+1/2,z+1/2'
loop_
_atom_site_label
_atom_site_fract_x
_atom_site_fract_y
_atom_site_fract_z
_atom_site_occupancy
H1 0.0000 0.1449 0.2500 1
Ru1 0.0000 0.4502 0.7500 1
Cl1 0.2275 0.4548 0.0917 1
Cl2 0.2466 0.3503 0.6212 1
```

Summary:
M_tot ... 4.05 μB/cell
Theoretical density ... 2692 kg/m3
E ... -3.81 eV/atom

# 8
Entry from Alexandria via LeMat-Bulk: V6CrOs3 after structural relaxation (GGA-PBE).

Geometry as CIF:
```
data_V6CrOs3
_symmetry_space_group_name_H-M 'F m -3 m'
_symmetry_Int_Tables_number 225
_symmetry_space_group_name_Hall '-F 4 2 3'
_cell_length_a 8.6841
_cell_length_b 8.6841
_cell_length_c 8.6841
_cell_angle_alpha 90.00
_cell_angle_beta 90.00
_cell_angle_gamma 90.00
loop_
_atom_site_label
_atom_site_fract_x
_atom_site_fract_y
_atom_site_fract_z
_atom_site_occupancy
V1 0.0000 0.0000 0.2412 1
Cr1 0.0000 0.0000 0.0000 1
Os1 0.0000 0.0000 0.5000 1
Os2 0.2500 0.2500 0.2500 1
```

Summary:
M_tot ... 0.00 μB/cell
Theoretical density ... 9415 kg/m3
E ... -8.55 eV/atom

# 9
Entry from Alexandria via LeMat-Bulk: LiMoRh4 after structural relaxation (GGA-PBE).

Geometry as CIF:
```
data_LiMoRh4
_symmetry_space_group_name_H-M 'P -1'
_symmetry_Int_Tables_number 2
_cell_length_a 4.3419
_cell_length_b 4.8976
_cell_length_c 5.0687
_cell_angle_alpha 65.61
_cell_angle_beta 65.43
_cell_angle_gamma 63.77
loop_
_symmetry_equiv_pos_as_xyz
'x,y,z'
'-x,-y,-z'
loop_
_atom_site_label
_atom_site_fract_x
_atom_site_fract_y
_atom_site_fract_z
_atom_site_occupancy
Li1 0.0000 0.0000 0.0000 1
Mo1 0.0000 0.5000 0.5000 1
Rh1 0.3214 0.8088 0.5481 1
Rh2 0.3358 0.2990 0.0256 1
```

Summary:
M_tot ... 0.00 μB/cell
E above lowest polymorph ... 0.0 meV per atom
Theoretical density ... 10124 kg/m3
E ... -6.99 eV/atom

# 10
Entry from Alexandria via LeMat-Bulk: KMnBiMo2 after structural relaxation (GGA-PBE).

Geometry as CIF:
```
data_KMnBiMo2
_symmetry_space_group_name_H-M 'P 4/m m m'
_symmetry_Int_Tables_number 123
_symmetry_space_group_name_Hall '-P 4 2'
_cell_length_a 5.4159
_cell_length_b 5.4159
_cell_length_c 5.3609
_cell_angle_alpha 90.00
_cell_angle_beta 90.00
_cell_angle_gamma 90.00
loop_
_atom_site_label
_atom_site_fract_x
_atom_site_fract_y
_atom_site_fract_z
_atom_site_occupancy
K1 0.0000 0.0000 0.0000 1
Mn1 0.5000 0.5000 0.0000 1
Bi1 0.5000 0.5000 0.5000 1
Mo1 0.0000 0.5000 0.5000 1
```

Summary:
M_tot ... 10.25 μB/cell
Theoretical density ... 5226 kg/m3
E ... -5.24 eV/atom

# 11
Entry from Alexandria via LeMat-Bulk: Nd2OsRhO8 after structural relaxation (GGA-PBE).

Geometry as CIF:
```
data_Nd2OsRhO8
_symmetry_space_group_name_H-M 'P -1'
_symmetry_Int_Tables_number 2
_cell_length_a 4.8487
_cell_length_b 6.0511
_cell_length_c 6.2033
_cell_angle_alpha 75.31
_cell_angle_beta 73.66
_cell_angle_gamma 71.78
loop_
_symmetry_equiv_pos_as_xyz
'x,y,z'
'-x,-y,-z'
loop_
_atom_site_label
_atom_site_fract_x
_atom_site_fract_y
_atom_site_fract_z
_atom_site_occupancy
Nd1 0.1199 0.1449 0.1773 1
Os1 0.5000 0.5000 0.5000 1
Rh1 0.5000 0.5000 0.0000 1
O1 0.2529 0.4427 0.8117 1
O2 0.2610 0.8109 0.4662 1
O3 0.2817 0.4178 0.3308 1
O4 0.3091 0.8583 0.9476 1
```

Summary:
M_tot ... 0.41 μB/cell
Theoretical density ... 7223 kg/m3
Formation energy without anion corrections ... -1917 meV per atom
E ... -7.57 eV/atom

# 12
Entry from Alexandria via LeMat-Bulk: BSbS2Cl after structural relaxation (GGA-PBE).

Geometry as CIF:
```
data_BSbS2Cl
_symmetry_space_group_name_H-M 'P 4/m m m'
_symmetry_Int_Tables_number 123
_symmetry_space_group_name_Hall '-P 4 2'
_cell_length_a 4.4476
_cell_length_b 4.4476
_cell_length_c 4.2008
_cell_angle_alpha 90.00
_cell_angle_beta 90.00
_cell_angle_gamma 90.00
loop_
_atom_site_label
_atom_site_fract_x
_atom_site_fract_y
_atom_site_fract_z
_atom_site_occupancy
B1 0.0000 0.0000 0.0000 1
Sb1 0.5000 0.5000 0.5000 1
S1 0.0000 0.5000 0.0000 1
Cl1 0.0000 0.0000 0.5000 1
```

Summary:
M_tot ... 0.00 μB/cell
E above lowest polymorph ... 0.0 meV per atom
Theoretical density ... 4639 kg/m3
Formation energy without anion corrections ... 406 meV per atom
E ... -3.77 eV/atom

# 13
Entry from Alexandria via LeMat-Bulk: Fe2CoSiSb after structural relaxation (GGA-PBE).

Geometry as CIF:
```
data_Fe2CoSiSb
_symmetry_space_group_name_H-M 'P 4/m m m'
_symmetry_Int_Tables_number 123
_symmetry_space_group_name_Hall '-P 4 2'
_cell_length_a 4.2360
_cell_length_b 4.2360
_cell_length_c 5.1303
_cell_angle_alpha 90.00
_cell_angle_beta 90.00
_cell_angle_gamma 90.00
loop_
_atom_site_label
_atom_site_fract_x
_atom_site_fract_y
_atom_site_fract_z
_atom_site_occupancy
Fe1 0.0000 0.5000 0.0000 1
Co1 0.0000 0.0000 0.5000 1
Si1 0.5000 0.5000 0.0000 1
Sb1 0.5000 0.5000 0.5000 1
```

Summary:
M_tot ... 5.93 μB/cell
Theoretical density ... 5781 kg/m3
Formation energy without anion corrections ... 1071 meV per atom
E ... -5.64 eV/atom

# 14
Entry from Alexandria via LeMat-Bulk: NaCa2Pd after structural relaxation (GGA-PBE).

Geometry as CIF:
```
data_NaCa2Pd
_symmetry_space_group_name_H-M 'F m -3 m'
_symmetry_Int_Tables_number 225
_symmetry_space_group_name_Hall '-F 4 2 3'
_cell_length_a 7.5234
_cell_length_b 7.5234
_cell_length_c 7.5234
_cell_angle_alpha 90.00
_cell_angle_beta 90.00
_cell_angle_gamma 90.00
loop_
_atom_site_label
_atom_site_fract_x
_atom_site_fract_y
_atom_site_fract_z
_atom_site_occupancy
Na1 0.0000 0.0000 0.0000 1
Ca1 0.2500 0.2500 0.2500 1
Pd1 0.0000 0.0000 0.5000 1
```

Summary:
M_tot ... 0.00 μB/cell
E above lowest polymorph ... 121.7 meV per atom
Theoretical density ... 3269 kg/m3
E ... -2.89 eV/atom

# 15
Entry from Alexandria via LeMat-Bulk: Pr2TiP3Ir4 after structural relaxation (GGA-PBE).

Geometry as CIF:
```
data_Pr2TiP3Ir4
_symmetry_space_group_name_H-M 'P -4 m 2'
_symmetry_Int_Tables_number 115
_cell_length_a 4.0863
_cell_length_b 4.0863
_cell_length_c 10.4152
_cell_angle_alpha 90.00
_cell_angle_beta 90.00
_cell_angle_gamma 90.00
loop_
_symmetry_equiv_pos_as_xyz
'x,y,z'
'y,-x,-z'
'-x,-y,z'
'-y,x,-z'
'-x,y,z'
'-y,-x,-z'
'x,-y,z'
'y,x,-z'
loop_
_atom_site_label
_atom_site_fract_x
_atom_site_fract_y
_atom_site_fract_z
_atom_site_occupancy
Pr1 0.0000 0.5000 0.2410 1
Ti1 0.0000 0.0000 0.5000 1
P1 0.0000 0.5000 0.8659 1
P2 0.5000 0.5000 0.5000 1
Ir1 0.0000 0.0000 0.0000 1
Ir2 0.0000 0.5000 0.6381 1
Ir3 0.5000 0.5000 0.0000 1
```

Summary:
M_tot ... 0.00 μB/cell
Theoretical density ... 11376 kg/m3
E ... -7.87 eV/atom

# 16
Entry from Alexandria via LeMat-Bulk: LaHfZn2 after structural relaxation (GGA-PBE).

Geometry as CIF:
```
data_LaHfZn2
_symmetry_space_group_name_H-M 'F m -3 m'
_symmetry_Int_Tables_number 225
_symmetry_space_group_name_Hall '-F 4 2 3'
_cell_length_a 7.0681
_cell_length_b 7.0681
_cell_length_c 7.0681
_cell_angle_alpha 90.00
_cell_angle_beta 90.00
_cell_angle_gamma 90.00
loop_
_atom_site_label
_atom_site_fract_x
_atom_site_fract_y
_atom_site_fract_z
_atom_site_occupancy
La1 0.0000 0.0000 0.0000 1
Hf1 0.0000 0.0000 0.5000 1
Zn1 0.2500 0.2500 0.2500 1
```

Summary:
M_tot ... 0.00 μB/cell
E above lowest polymorph ... 109.1 meV per atom
Theoretical density ... 8431 kg/m3
E ... -4.44 eV/atom

# 17
Entry from Alexandria via LeMat-Bulk: SrCdW2 after structural relaxation (GGA-PBE).

Geometry as CIF:
```
data_SrCdW2
_symmetry_space_group_name_H-M 'C m m m'
_symmetry_Int_Tables_number 65
_symmetry_space_group_name_Hall '-C 2 2'
_cell_length_a 3.8605
_cell_length_b 4.0861
_cell_length_c 10.2142
_cell_angle_alpha 90.00
_cell_angle_beta 90.00
_cell_angle_gamma 90.00
loop_
_atom_site_label
_atom_site_fract_x
_atom_site_fract_y
_atom_site_fract_z
_atom_site_occupancy
Sr1 0.0000 0.0000 0.0000 1
Cd1 0.0000 0.0000 0.5000 1
W1 0.0000 0.5000 0.2734 1
```

Summary:
M_tot ... 0.00 μB/cell
Theoretical density ... 11702 kg/m3
E ... -6.10 eV/atom

# 18
Entry from Alexandria via LeMat-Bulk: Y2ErPa2Ru5 after structural relaxation (GGA-PBE).

Geometry as CIF:
```
data_Y2ErPa2Ru5
_symmetry_space_group_name_H-M 'P 4/m b m'
_symmetry_Int_Tables_number 127
_symmetry_space_group_name_Hall '-P 4 2ab'
_cell_length_a 10.6193
_cell_length_b 10.6193
_cell_length_c 3.6650
_cell_angle_alpha 90.00
_cell_angle_beta 90.00
_cell_angle_gamma 90.00
loop_
_atom_site_label
_atom_site_fract_x
_atom_site_fract_y
_atom_site_fract_z
_atom_site_occupancy
Y1 0.1726 0.3274 0.0000 1
Er1 0.0000 0.0000 0.0000 1
Pa1 0.1349 0.6349 0.0000 1
Ru1 0.0000 0.5000 0.5000 1
Ru2 0.0545 0.7922 0.5000 1
```

Summary:
M_tot ... 0.00 μB/cell
Theoretical density ... 10547 kg/m3
E ... -8.61 eV/atom

# 19
Entry from Alexandria via LeMat-Bulk: LiTaZn2 after structural relaxation (GGA-PBE).

Geometry as CIF:
```
data_LiTaZn2
_symmetry_space_group_name_H-M 'P 4/m m m'
_symmetry_Int_Tables_number 123
_symmetry_space_group_name_Hall '-P 4 2'
_cell_length_a 2.8725
_cell_length_b 2.8725
_cell_length_c 7.3352
_cell_angle_alpha 90.00
_cell_angle_beta 90.00
_cell_angle_gamma 90.00
loop_
_atom_site_label
_atom_site_fract_x
_atom_site_fract_y
_atom_site_fract_z
_atom_site_occupancy
Li1 0.0000 0.0000 0.0000 1
Ta1 0.0000 0.0000 0.5000 1
Zn1 0.5000 0.5000 0.2310 1
```

Summary:
M_tot ... 0.00 μB/cell
E above lowest polymorph ... 0.0 meV per atom
Theoretical density ... 8744 kg/m3
E ... -4.15 eV/atom

# 20
Entry from Alexandria via LeMat-Bulk: Ac2NiSbS6 after structural relaxation (GGA-PBE).

Geometry as CIF:
```
data_Ac2NiSbS6
_symmetry_space_group_name_H-M 'P 1 21/c 1'
_symmetry_Int_Tables_number 14
_cell_length_a 6.5452
_cell_length_b 7.2641
_cell_length_c 11.6158
_cell_angle_alpha 90.00
_cell_angle_beta 123.52
_cell_angle_gamma 90.00
loop_
_symmetry_equiv_pos_as_xyz
'x,y,z'
'-x,-y,-z'
'-x,y+1/2,-z+1/2'
'x,-y+1/2,z+1/2'
loop_
_atom_site_label
_atom_site_fract_x
_atom_site_fract_y
_atom_site_fract_z
_atom_site_occupancy
Ac1 0.2138 0.0952 0.2484 1
Ni1 0.0000 0.0000 0.5000 1
Sb1 0.5000 0.0000 0.0000 1
S1 0.1321 0.2025 0.9570 1
S2 0.2564 0.6771 0.9586 1
S3 0.3220 0.0038 0.7372 1
```

Summary:
M_tot ... 1.77 μB/cell
Theoretical density ... 5964 kg/m3
Formation energy without anion corrections ... -1167 meV per atom
E ... -5.46 eV/atom